[1]
Density functional theory data (PBEsol) for a relaxed structure of SrZnAu2.

The structure belongs to space group R3m (No. 160, hexagonal axes); the cell edges are 4.4678, 4.4678 and 15.9146 Å and the angles 90.00°, 90.00° and 120.00°. The distinct sites, in fractional coordinates, are Sr at (0.0000, 0.0000, 0.0000), Zn at (0.0000, 0.0000, 0.8017), Au at (0.0000, 0.0000, 0.2030) and Au at (0.0000, 0.0000, 0.4652).

Its formation energy is -475 meV per atom. Its crystal system is trigonal. For the electronic total energy, the calculation gives -3.293 eV per atom.

---

[2]
Density functional theory data (PBEsol) for a relaxed structure of TaAu3.

The structure belongs to space group P4/mmm (No. 123); the cell edges are 2.902, 2.902 and 8.052 Å and the angles 90.00°, 90.00° and 90.00°. The distinct sites, in fractional coordinates, are Ta at (0.000, 0.000, 0.000), Au at (0.000, 0.000, 0.500) and Au at (0.500, 0.500, 0.244).

Its formation energy is -98 meV per atom. Its crystal system is tetragonal. For the electronic total energy, the calculation gives -6.179 eV per atom.

---

[3]
Density functional theory data (PBEsol) for a relaxed structure of TaAu3.

The structure belongs to space group R-3m (No. 166, hexagonal axes); the cell edges are 2.9115, 2.9115 and 27.9455 Å and the angles 90.00°, 90.00° and 120.00°. The distinct sites, in fractional coordinates, are Ta at (0.0000, 0.0000, 0.0000), Au at (0.0000, 0.0000, 0.2513) and Au at (0.0000, 0.0000, 0.5000).

Its formation energy is -24 meV per atom. Its crystal system is trigonal. For the electronic total energy, the calculation gives -6.104 eV per atom.

---

[4]
Density functional theory data (PBEsol) for a relaxed structure of TaAu3.

The structure belongs to space group P-6m2 (No. 187); the cell edges are 2.9246, 2.9246 and 9.2373 Å and the angles 90.00°, 90.00° and 120.00°. The distinct sites, in fractional coordinates, are Ta at (0.0000, 0.0000, 0.0000), Au at (0.0000, 0.0000, 0.5000) and Au at (0.3333, 0.6667, 0.2438).

Its formation energy is -33 meV per atom. Its crystal system is hexagonal. For the electronic total energy, the calculation gives -6.114 eV per atom.

---

[5]
Density functional theory data (PBEsol) for a relaxed structure of Ta2Au.

The structure belongs to space group P4_2/mnm (No. 136); the cell edges are 9.986, 9.986 and 5.164 Å and the angles 90.00°, 90.00° and 90.00°. The distinct sites, in fractional coordinates, are Ta at (0.036, 0.371, 0.000), Ta at (0.104, 0.104, 0.000), Ta at (0.183, 0.817, 0.250), Au at (0.000, 0.000, 0.500) and Au at (0.064, 0.267, 0.500).

Its formation energy is -97 meV per atom. Its crystal system is tetragonal. For the electronic total energy, the calculation gives -9.773 eV per atom.

---

[6]
Density functional theory data (PBEsol) for a relaxed structure of Ta5Au.

The structure belongs to space group Cmmm (No. 65); the cell edges are 3.426, 13.325 and 4.570 Å and the angles 90.00°, 90.00° and 90.00°. The distinct sites, in fractional coordinates, are Ta at (0.000, 0.000, 0.000), Ta at (0.000, 0.167, 0.500), Ta at (0.000, 0.334, 0.000) and Au at (0.000, 0.500, 0.500).

Its formation energy is -35 meV per atom. Its crystal system is orthorhombic. For the electronic total energy, the calculation gives -11.148 eV per atom.

---

[7]
Density functional theory data (PBEsol) for a relaxed structure of TaAu3.

The structure belongs to space group Pmmm (No. 47); the cell edges are 2.908, 3.890 and 6.004 Å and the angles 90.00°, 90.00° and 90.00°. The distinct sites, in fractional coordinates, are Ta at (0.000, 0.000, 0.000), Au at (0.000, 0.000, 0.500) and Au at (0.500, 0.500, 0.242).

Its formation energy is -40 meV per atom. Its crystal system is orthorhombic. For the electronic total energy, the calculation gives -6.121 eV per atom.

---

[8]
Density functional theory data (PBEsol) for a relaxed structure of TaAu3.

The structure belongs to space group C2/m (No. 12); the cell edges are 9.463, 2.834 and 5.092 Å and the angles 90.00°, 97.88° and 90.00°. The distinct sites, in fractional coordinates, are Ta at (0.000, 0.000, 0.000), Au at (0.000, 0.500, 0.500) and Au at (0.245, 0.500, 0.241).

Its formation energy is -23 meV per atom. Its crystal system is monoclinic. For the electronic total energy, the calculation gives -6.104 eV per atom.

---

Spin magnetization: 0.00; 0.00; 0.00; 0.00; 0.00; 0.00; 0.00; 0.00 (Bohr magnetons per cell)